A relaxed structure of CuBiF2. Source: the Alexandria database, functional PBE-GGA.

Results
Space group: No. 225
Energy relative to the lowest polymorph listed for this composition, meV/atom: 237
Crystal system: cubic
Formation energy from raw total energies, eV per atom: -0.901

abc: 6.214 6.214 6.214
angles: 90.00 90.00 90.00
Fractional coordinates of all 16 atoms:
Cu 0.000 0.000 0.000
Cu 0.000 0.500 0.500
Cu 0.500 0.000 0.500
Cu 0.500 0.500 0.000
Bi 0.000 0.000 0.500
Bi 0.000 0.500 0.000
Bi 0.500 0.000 0.000
Bi 0.500 0.500 0.500
F 0.250 0.250 0.250
F 0.250 0.250 0.750
F 0.250 0.750 0.250
F 0.250 0.750 0.750
F 0.750 0.250 0.250
F 0.750 0.250 0.750
F 0.750 0.750 0.250
F 0.750 0.750 0.750


A relaxed structure of Cu2BiF8. Source: the Alexandria database, functional PBE-GGA.

Results
Space group: No. 97
Energy relative to the lowest polymorph listed for this composition, meV/atom: 0
Crystal system: tetragonal
Formation energy from raw total energies, eV per atom: -1.789

abc: 6.513 6.513 6.513
angles: 129.83 129.83 73.68
Fractional coordinates of all 11 atoms:
Cu 0.250 0.750 0.500
Cu 0.750 0.250 0.500
Bi 0.000 0.000 0.000
F 0.029 0.557 0.840
F 0.189 0.029 0.472
F 0.283 0.443 0.472
F 0.443 0.971 0.160
F 0.557 0.717 0.528
F 0.717 0.189 0.160
F 0.811 0.283 0.840
F 0.971 0.811 0.528


A relaxed structure of CuBiF. Source: the Alexandria database, functional PBE-GGA.

Results
Space group: No. 2
Energy relative to the lowest polymorph listed for this composition, meV/atom: 28
Crystal system: triclinic
Formation energy from raw total energies, eV per atom: -0.771

abc: 3.423 5.559 6.058
angles: 77.00 89.80 89.99
Fractional coordinates of all 6 atoms:
Cu 0.249 0.336 0.101
Cu 0.751 0.664 0.899
Bi 0.248 0.812 0.216
Bi 0.752 0.188 0.784
F 0.252 0.277 0.444
F 0.748 0.723 0.556


A relaxed structure of CuBiF5. Source: the Alexandria database, functional PBE-GGA.

Results
Space group: No. 15
Crystal system: monoclinic
Formation energy from raw total energies, eV per atom: -2.033

abc: 5.789 5.789 7.478
angles: 108.47 108.47 77.44
Fractional coordinates of all 14 atoms:
Cu 0.000 0.000 0.000
Cu 0.000 0.000 0.500
Bi 0.442 0.558 0.750
Bi 0.558 0.442 0.250
F 0.099 0.901 0.750
F 0.201 0.257 0.621
F 0.257 0.201 0.121
F 0.311 0.667 0.045
F 0.333 0.689 0.455
F 0.667 0.311 0.545
F 0.689 0.333 0.955
F 0.743 0.799 0.879
F 0.799 0.743 0.379
F 0.901 0.099 0.250


A relaxed structure of Cu2Bi2F. Source: the Alexandria database, functional PBE-GGA.

Results
Space group: No. 127
Energy relative to the lowest polymorph listed for this composition, meV/atom: 85
Crystal system: tetragonal
Formation energy from raw total energies, eV per atom: -0.267

abc: 7.328 7.328 3.726
angles: 90.00 90.00 90.00
Fractional coordinates of all 10 atoms:
Cu 0.117 0.383 0.000
Cu 0.383 0.883 0.000
Cu 0.617 0.117 0.000
Cu 0.883 0.617 0.000
Bi 0.187 0.687 0.500
Bi 0.313 0.187 0.500
Bi 0.687 0.813 0.500
Bi 0.813 0.313 0.500
F 0.000 0.000 0.500
F 0.500 0.500 0.500


A relaxed structure of CuBiF. Source: the Alexandria database, functional PBE-GGA.

Results
Space group: No. 12
Energy relative to the lowest polymorph listed for this composition, meV/atom: 63
Crystal system: monoclinic
Formation energy from raw total energies, eV per atom: -0.736

abc: 11.954 3.296 6.822
angles: 90.00 124.42 90.00
Fractional coordinates of all 12 atoms:
Cu 0.238 0.000 0.274
Cu 0.262 0.500 0.726
Cu 0.738 0.500 0.274
Cu 0.762 0.000 0.726
Bi 0.091 0.500 0.882
Bi 0.409 0.000 0.118
Bi 0.591 0.000 0.882
Bi 0.909 0.500 0.118
F 0.154 0.000 0.483
F 0.346 0.500 0.517
F 0.654 0.500 0.483
F 0.846 0.000 0.517


Quick rundown of total magnetization, same order as above: 0.00 0.09 0.00 0.14 0.00 0.00 μB/atom